(1)
5
Lattice="4.7683 0.0000 0.0000 0.0000 4.7683 0.0000 0.0000 0.0000 3.5755" Properties=species:S:1:pos:R:3 comment="PdCS2N (meta-GGA SCAN, single point on PBEsol structure)" total_magnetization_mub_per_cell=0.47 raw_formation_energy_ev_per_atom=2.22 energy_ev_per_atom=-12.0625 pbc="T T T"
Pd 0.0000 0.0000 0.0000
C 2.3842 2.3842 1.7877
S 0.0000 2.3842 0.0000
S 2.3842 0.0000 0.0000
N 0.0000 0.0000 1.7877

***

(2)
8
Lattice="4.3742 0.0000 0.0000 0.0000 4.3742 0.0000 0.0000 0.0000 4.3742" Properties=species:S:1:pos:R:3 comment="Be3Au (meta-GGA SCAN, single point on PBEsol structure)" total_magnetization_mub_per_cell=0.00 formation_enthalpy_0k_ev_per_atom=-0.246 energy_ev_per_atom=-20.8000 pbc="T T T"
Be 0.0000 1.0936 2.1871
Be 0.0000 3.2807 2.1871
Be 1.0936 2.1871 0.0000
Be 2.1871 0.0000 1.0936
Be 2.1871 0.0000 3.2807
Be 3.2807 2.1871 0.0000
Au 0.0000 0.0000 0.0000
Au 2.1871 2.1871 2.1871

***

Copy entry 1 word for word.
5
Lattice="4.7683 0.0000 0.0000 0.0000 4.7683 0.0000 0.0000 0.0000 3.5755" Properties=species:S:1:pos:R:3 comment="PdCS2N (meta-GGA SCAN, single point on PBEsol structure)" total_magnetization_mub_per_cell=0.47 raw_formation_energy_ev_per_atom=2.22 energy_ev_per_atom=-12.0625 pbc="T T T"
Pd 0.0000 0.0000 0.0000
C 2.3842 2.3842 1.7877
S 0.0000 2.3842 0.0000
S 2.3842 0.0000 0.0000
N 0.0000 0.0000 1.7877